Entry from the Alexandria database: an optimized crystal structure of PmHf2B6 (PBE). Values from VASP.

Calculated values
**ΔE_f**: -0.730 eV per atom
**Crystal system**: hexagonal
**Size of the total moment**: 0.0 μB/f.u.

The structure in Quantum ESPRESSO input format:
```
&SYSTEM
  ibrav = 0, nat = 9, ntyp = 3
/
ATOMIC_SPECIES
Pm 145.00 Pm.upf
Hf 178.49 Hf.upf
B 10.81 B.upf
ATOMIC_POSITIONS crystal
Pm 0.000 0.000 0.000
Hf 0.000 0.333 0.667
Hf 0.000 0.667 0.333
B 0.500 0.341 0.341
B 0.500 0.659 0.659
B 0.500 0.000 0.659
B 0.500 0.659 0.000
B 0.500 0.341 0.000
B 0.500 0.000 0.341
CELL_PARAMETERS angstrom
3.665 0.000 0.000
0.000 4.840 -2.794
0.000 0.000 5.589
```

---

Entry from the Alexandria database: an optimized crystal structure of PmHfB12 (PBE). Values from VASP.

Calculated values
**ΔE_f**: -0.184 eV per atom
**Crystal system**: tetragonal
**Size of the total moment**: 0.0 μB/f.u.

The structure in Quantum ESPRESSO input format:
```
&SYSTEM
  ibrav = 0, nat = 14, ntyp = 3
/
ATOMIC_SPECIES
Pm 145.00 Pm.upf
Hf 178.49 Hf.upf
B 10.81 B.upf
ATOMIC_POSITIONS crystal
Pm 0.000 0.000 0.500
Hf 0.000 0.000 0.000
B 0.198 0.500 0.246
B 0.198 0.500 0.754
B 0.500 0.500 0.399
B 0.500 0.500 0.903
B 0.500 0.198 0.246
B 0.500 0.198 0.754
B 0.500 0.500 0.097
B 0.500 0.500 0.601
B 0.500 0.802 0.246
B 0.500 0.802 0.754
B 0.802 0.500 0.246
B 0.802 0.500 0.754
CELL_PARAMETERS angstrom
4.084 0.000 0.000
0.000 4.084 0.000
0.000 0.000 8.146
```

---

Entry from the Alexandria database: an optimized crystal structure of PrHfB12 (PBE). Values from VASP.

Calculated values
**ΔE_f**: -0.192 eV per atom
**Crystal system**: tetragonal
**Size of the total moment**: 0.0 μB/f.u.

The structure in Quantum ESPRESSO input format:
```
&SYSTEM
  ibrav = 0, nat = 14, ntyp = 3
/
ATOMIC_SPECIES
Pr 140.91 Pr.upf
Hf 178.49 Hf.upf
B 10.81 B.upf
ATOMIC_POSITIONS crystal
Pr 0.000 0.000 0.500
Hf 0.000 0.000 0.000
B 0.198 0.500 0.245
B 0.198 0.500 0.755
B 0.500 0.500 0.398
B 0.500 0.500 0.903
B 0.500 0.198 0.245
B 0.500 0.198 0.755
B 0.500 0.500 0.097
B 0.500 0.500 0.602
B 0.500 0.802 0.245
B 0.500 0.802 0.755
B 0.802 0.500 0.245
B 0.802 0.500 0.755
CELL_PARAMETERS angstrom
-3.051 -2.542 0.999
0.695 -2.171 -3.402
5.266 -4.715 4.085
```

---

Entry from the Alexandria database: an optimized crystal structure of Hf3BPt (PBE). Values from VASP.

Calculated values
**Offset from the most stable computed form**: 0.000 eV per atom
**ΔE_f**: -0.436 eV per atom
**Crystal system**: cubic
**Size of the total moment**: 0.0 μB/f.u.

The structure in Quantum ESPRESSO input format:
```
&SYSTEM
  ibrav = 0, nat = 5, ntyp = 3
/
ATOMIC_SPECIES
B 10.81 B.upf
Hf 178.49 Hf.upf
Pt 195.08 Pt.upf
ATOMIC_POSITIONS crystal
B 0.000 0.000 0.000
Hf 0.000 0.500 0.000
Hf 0.000 0.000 0.500
Hf 0.500 0.000 0.000
Pt 0.500 0.500 0.500
CELL_PARAMETERS angstrom
-2.769 3.070 -1.776
-3.358 -2.994 0.062
-1.140 1.364 4.133
```

---

Entry from the Alexandria database: an optimized crystal structure of Hf2BPt2Rh4 (PBE). Values from VASP.

Calculated values
**ΔE_f**: -0.950 eV per atom
**Crystal system**: tetragonal
**Size of the total moment**: 0.0 μB/f.u.

The structure in Quantum ESPRESSO input format:
```
&SYSTEM
  ibrav = 0, nat = 9, ntyp = 4
/
ATOMIC_SPECIES
Hf 178.49 Hf.upf
B 10.81 B.upf
Pt 195.08 Pt.upf
Rh 102.91 Rh.upf
ATOMIC_POSITIONS crystal
Hf 0.500 0.750 0.250
Hf 0.500 0.250 0.750
B 0.000 0.000 0.000
Pt 0.000 0.740 0.740
Pt 0.000 0.260 0.260
Rh 0.000 0.745 0.255
Rh 0.491 0.745 0.745
Rh 0.000 0.255 0.745
Rh 0.509 0.255 0.255
CELL_PARAMETERS angstrom
5.722 -0.038 -0.054
-2.780 5.001 0.054
-2.780 -1.706 4.702
```

---

Entry from the Alexandria database: an optimized crystal structure of HfBRu2Pt (PBE). Values from VASP.

Calculated values
**Offset from the most stable computed form**: 0.000 eV per atom
**ΔE_f**: -0.579 eV per atom
**Crystal system**: tetragonal
**Size of the total moment**: 0.0 μB/f.u.

The structure in Quantum ESPRESSO input format:
```
&SYSTEM
  ibrav = 0, nat = 5, ntyp = 4
/
ATOMIC_SPECIES
Ru 101.07 Ru.upf
B 10.81 B.upf
Hf 178.49 Hf.upf
Pt 195.08 Pt.upf
ATOMIC_POSITIONS crystal
Ru 0.000 0.500 0.000
Ru 0.500 0.000 0.000
B 0.000 0.000 0.000
Hf 0.500 0.500 0.500
Pt 0.000 0.000 0.500
CELL_PARAMETERS angstrom
4.172 0.000 0.000
0.000 4.172 0.000
0.000 0.000 4.108
```

---

Entry from the Alexandria database: an optimized crystal structure of HfBRu2Pt (PBE). Values from VASP.

Calculated values
**Offset from the most stable computed form**: 2.766 eV per atom
**ΔE_f**: 2.187 eV per atom
**Crystal system**: tetragonal
**Size of the total moment**: 1.8 μB/f.u.

The structure in Quantum ESPRESSO input format:
```
&SYSTEM
  ibrav = 0, nat = 5, ntyp = 4
/
ATOMIC_SPECIES
Ru 101.07 Ru.upf
B 10.81 B.upf
Hf 178.49 Hf.upf
Pt 195.08 Pt.upf
ATOMIC_POSITIONS crystal
Ru 0.000 0.000 0.500
Ru 0.500 0.000 0.000
B 0.500 0.500 0.500
Hf 0.000 0.000 0.000
Pt 0.000 0.500 0.000
CELL_PARAMETERS angstrom
4.767 0.000 0.000
0.000 4.935 0.000
0.000 0.000 4.767
```

---

Entry from the Alexandria database: an optimized crystal structure of HfB2PtS (PBE). Values from VASP.

Calculated values
**Crystal system**: tetragonal
**Size of the total moment**: 0.0 μB/f.u.
**ΔE_f (raw)**: 1.71 eV/atom

The structure in Quantum ESPRESSO input format:
```
&SYSTEM
  ibrav = 0, nat = 5, ntyp = 4
/
ATOMIC_SPECIES
S 32.06 S.upf
B 10.81 B.upf
Hf 178.49 Hf.upf
Pt 195.08 Pt.upf
ATOMIC_POSITIONS crystal
S 0.500 0.500 0.500
B 0.000 0.000 0.500
B 0.500 0.000 0.000
Hf 0.000 0.000 0.000
Pt 0.000 0.500 0.000
CELL_PARAMETERS angstrom
4.452 0.000 0.000
0.000 5.056 0.000
0.000 0.000 4.452
```

---

Fermi-level density of states for the records above, in order: 0.126; 0.132; 0.130; 1.628; 0.550; 0.655; 1.416; 0.674 states/eV per atom
Mass density for the records above, in order: 9.495; 5.539; 5.449; 13.516; 14.539; 13.624; 8.686; 7.081 g/cm3